Run one
Here is a geometry-optimized Tb2PmIr structure from Alexandria via LeMat-Bulk. Energies are from GGA-PBE.

Cell and atoms, written as CIF:
```
data_Tb2PmIr
_chemical_formula_sum 'Tb6 Pm3 Ir3'
_space_group_name_H-M_alt 'R 3 m'
_space_group_IT_number 160
_space_group_name_Hall 'R 3 -2"'
_cell_length_a 4.0015
_cell_length_b 4.0015
_cell_length_c 26.8002
_cell_angle_alpha 90.00
_cell_angle_beta 90.00
_cell_angle_gamma 120.00
loop_
_atom_site_label
_atom_site_type_symbol
_atom_site_fract_x
_atom_site_fract_y
_atom_site_fract_z
Tb1 Tb 0.0000 0.0000 0.0000
Tb2 Tb 0.0000 0.0000 0.2207
Pm1 Pm 0.0000 0.0000 0.4460
Ir1 Ir 0.0000 0.0000 0.6103
```

Properties
total magnetic moment	0.004	μB/cell

***

Run two
Here is a geometry-optimized Tb2PmIr structure from Alexandria via LeMat-Bulk. Energies are from GGA-PBE.

Cell and atoms, written as CIF:
```
data_Tb2PmIr
_chemical_formula_sum 'Tb2 Pm1 Ir1'
_space_group_name_H-M_alt 'P 4/m m m'
_space_group_IT_number 123
_space_group_name_Hall '-P 4 2'
_cell_length_a 3.508
_cell_length_b 3.508
_cell_length_c 8.917
_cell_angle_alpha 90.00
_cell_angle_beta 90.00
_cell_angle_gamma 90.00
loop_
_atom_site_label
_atom_site_type_symbol
_atom_site_fract_x
_atom_site_fract_y
_atom_site_fract_z
Tb1 Tb 0.000 0.000 0.183
Pm1 Pm 0.500 0.500 0.500
Ir1 Ir 0.500 0.500 0.000
```

Properties
total magnetic moment	0.000	μB/cell

***

Run three
Here is a geometry-optimized Tb2PmIr structure from Alexandria via LeMat-Bulk. Energies are from GGA-PBE.

Cell and atoms, written as CIF:
```
data_Tb2PmIr
_chemical_formula_sum 'Tb6 Pm3 Ir3'
_space_group_name_H-M_alt 'R -3 m'
_space_group_IT_number 166
_space_group_name_Hall '-R 3 2"'
_cell_length_a 3.8073
_cell_length_b 3.8073
_cell_length_c 31.7292
_cell_angle_alpha 90.00
_cell_angle_beta 90.00
_cell_angle_gamma 120.00
loop_
_atom_site_label
_atom_site_type_symbol
_atom_site_fract_x
_atom_site_fract_y
_atom_site_fract_z
Tb1 Tb 0.0000 0.0000 0.1150
Pm1 Pm 0.0000 0.0000 0.0000
Ir1 Ir 0.0000 0.0000 0.5000
```

Properties
total magnetic moment	0.008	μB/cell

***

Run four
Here is a geometry-optimized Tb2PmIr structure from Alexandria via LeMat-Bulk. Energies are from GGA-PBE.

Cell and atoms, written as CIF:
```
data_Tb2PmIr
_chemical_formula_sum 'Tb8 Pm4 Ir4'
_space_group_name_H-M_alt 'C m c m'
_space_group_IT_number 63
_space_group_name_Hall '-C 2c 2'
_cell_length_a 3.881
_cell_length_b 12.222
_cell_length_c 9.339
_cell_angle_alpha 90.00
_cell_angle_beta 90.00
_cell_angle_gamma 90.00
loop_
_atom_site_label
_atom_site_type_symbol
_atom_site_fract_x
_atom_site_fract_y
_atom_site_fract_z
Tb1 Tb 0.000 0.142 0.067
Pm1 Pm 0.000 0.426 0.250
Ir1 Ir 0.000 0.255 0.750
```

Properties
total magnetic moment	0.000	μB/cell

***

It comes down to run four, which is 107 meV/atom more stable than the next structure.

***

Run one
Here is a geometry-optimized Tb3PmIr2 structure from Alexandria via LeMat-Bulk. Energies are from GGA-PBE.

Cell and atoms, written as CIF:
```
data_Tb3PmIr2
_chemical_formula_sum 'Tb6 Pm2 Ir4'
_space_group_name_H-M_alt 'P m c 21'
_space_group_IT_number 26
_cell_length_a 4.711
_cell_length_b 8.784
_cell_length_c 7.272
_cell_angle_alpha 90.00
_cell_angle_beta 90.00
_cell_angle_gamma 90.00
loop_
_space_group_symop_operation_xyz
'x,y,z'
'-x,-y,z+1/2'
'-x,y,z'
'x,-y,z+1/2'
loop_
_atom_site_label
_atom_site_type_symbol
_atom_site_fract_x
_atom_site_fract_y
_atom_site_fract_z
Tb1 Tb 0.000 0.086 0.000
Tb2 Tb 0.000 0.329 0.369
Tb3 Tb 0.500 0.165 0.651
Pm1 Pm 0.500 0.415 0.018
Ir1 Ir 0.000 0.337 0.763
Ir2 Ir 0.500 0.159 0.255
```

Properties
total magnetic moment	0.000	μB/cell

***

Run two
Here is a geometry-optimized Tb3PmIr2 structure from Alexandria via LeMat-Bulk. Energies are from GGA-PBE.

Cell and atoms, written as CIF:
```
data_Tb3PmIr2
_chemical_formula_sum 'Tb12 Pm4 Ir8'
_space_group_name_H-M_alt 'I b a m'
_space_group_IT_number 72
_space_group_name_Hall '-I 2 2c'
_cell_length_a 6.864
_cell_length_b 13.729
_cell_length_c 7.065
_cell_angle_alpha 90.00
_cell_angle_beta 90.00
_cell_angle_gamma 90.00
loop_
_atom_site_label
_atom_site_type_symbol
_atom_site_fract_x
_atom_site_fract_y
_atom_site_fract_z
Tb1 Tb 0.000 0.000 0.250
Tb2 Tb 0.000 0.262 0.250
Pm1 Pm 0.000 0.500 0.000
Ir1 Ir 0.212 0.138 0.000
```

Properties
total magnetic moment	0.000	μB/cell

***

It comes down to run one, which is 88 meV/atom more stable than the next structure.

***

Run one
Here is a geometry-optimized Tb3PmIr structure from Alexandria via LeMat-Bulk. Energies are from GGA-PBE.

Cell and atoms, written as CIF:
```
data_Tb3PmIr
_chemical_formula_sum 'Tb6 Pm2 Ir2'
_space_group_name_H-M_alt 'P m n 21'
_space_group_IT_number 31
_cell_length_a 7.681
_cell_length_b 6.580
_cell_length_c 6.253
_cell_angle_alpha 90.00
_cell_angle_beta 90.00
_cell_angle_gamma 90.00
loop_
_space_group_symop_operation_xyz
'x,y,z'
'-x+1/2,-y,z+1/2'
'-x,y,z'
'x+1/2,-y,z+1/2'
loop_
_atom_site_label
_atom_site_type_symbol
_atom_site_fract_x
_atom_site_fract_y
_atom_site_fract_z
Tb1 Tb 0.000 0.154 0.000
Tb2 Tb 0.249 0.682 0.006
Pm1 Pm 0.000 0.852 0.510
Ir1 Ir 0.000 0.496 0.254
```

Properties
total magnetic moment	0.000	μB/cell

***

Run two
Here is a geometry-optimized Tb3PmIr structure from Alexandria via LeMat-Bulk. Energies are from GGA-PBE.

Cell and atoms, written as CIF:
```
data_Tb3PmIr
_chemical_formula_sum 'Tb3 Pm1 Ir1'
_space_group_name_H-M_alt 'P m -3 m'
_space_group_IT_number 221
_space_group_name_Hall '-P 4 2 3'
_cell_length_a 5.471
_cell_length_b 5.471
_cell_length_c 5.471
_cell_angle_alpha 90.00
_cell_angle_beta 90.00
_cell_angle_gamma 90.00
loop_
_atom_site_label
_atom_site_type_symbol
_atom_site_fract_x
_atom_site_fract_y
_atom_site_fract_z
Tb1 Tb 0.000 0.000 0.500
Pm1 Pm 0.500 0.500 0.500
Ir1 Ir 0.000 0.000 0.000
```

Properties
total magnetic moment	0.003	μB/cell

***

It comes down to run one, which is 58 meV/atom more stable than the next structure.

***

Run one
Here is a geometry-optimized TbPmZnIr structure from Alexandria via LeMat-Bulk. Energies are from GGA-PBE.

Cell and atoms, written as CIF:
```
data_TbPmZnIr
_chemical_formula_sum 'Tb4 Pm4 Zn4 Ir4'
_space_group_name_H-M_alt 'F -4 3 m'
_space_group_IT_number 216
_space_group_name_Hall 'F -4 2 3'
_cell_length_a 7.082
_cell_length_b 7.082
_cell_length_c 7.082
_cell_angle_alpha 90.00
_cell_angle_beta 90.00
_cell_angle_gamma 90.00
loop_
_atom_site_label
_atom_site_type_symbol
_atom_site_fract_x
_atom_site_fract_y
_atom_site_fract_z
Tb1 Tb 0.000 0.000 0.000
Pm1 Pm 0.000 0.000 0.500
Zn1 Zn 0.250 0.250 0.250
Ir1 Ir 0.250 0.250 0.750
```

Properties
total magnetic moment	0.000	μB/cell

***

Run two
Here is a geometry-optimized TbPmZnIr structure from Alexandria via LeMat-Bulk. Energies are from GGA-PBE.

Cell and atoms, written as CIF:
```
data_TbPmZnIr
_chemical_formula_sum 'Tb2 Pm2 Zn2 Ir2'
_space_group_name_H-M_alt 'A m m 2'
_space_group_IT_number 38
_cell_length_a 4.395
_cell_length_b 3.944
_cell_length_c 10.784
_cell_angle_alpha 90.00
_cell_angle_beta 90.00
_cell_angle_gamma 90.00
loop_
_space_group_symop_operation_xyz
'x,y,z'
'-x,-y,z'
'-x,y,z'
'x,-y,z'
'x,y+1/2,z+1/2'
'-x,-y+1/2,z+1/2'
'-x,y+1/2,z+1/2'
'x,-y+1/2,z+1/2'
loop_
_atom_site_label
_atom_site_type_symbol
_atom_site_fract_x
_atom_site_fract_y
_atom_site_fract_z
Tb1 Tb 0.000 0.000 0.000
Pm1 Pm 0.500 0.000 0.721
Zn1 Zn 0.000 0.000 0.293
Ir1 Ir 0.500 0.000 0.434
```

Properties
total magnetic moment	0.000	μB/cell

***

It comes down to run two, which is 10 meV/atom more stable than the next structure.

***

Run one
Here is a geometry-optimized Pm2TeIr structure from Alexandria via LeMat-Bulk. Energies are from GGA-PBE.

Cell and atoms, written as CIF:
```
data_Pm2TeIr
_chemical_formula_sum 'Pm6 Te3 Ir3'
_space_group_name_H-M_alt 'R -3 m'
_space_group_IT_number 166
_space_group_name_Hall '-R 3 2"'
_cell_length_a 4.2210
_cell_length_b 4.2210
_cell_length_c 22.2922
_cell_angle_alpha 90.00
_cell_angle_beta 90.00
_cell_angle_gamma 120.00
loop_
_atom_site_label
_atom_site_type_symbol
_atom_site_fract_x
_atom_site_fract_y
_atom_site_fract_z
Pm1 Pm 0.0000 0.0000 0.2367
Te1 Te 0.0000 0.0000 0.0000
Ir1 Ir 0.0000 0.0000 0.5000
```

Properties
total magnetic moment	0.000	μB/cell

***

Run two
Here is a geometry-optimized Pm2TeIr structure from Alexandria via LeMat-Bulk. Energies are from GGA-PBE.

Cell and atoms, written as CIF:
```
data_Pm2TeIr
_chemical_formula_sum 'Pm8 Te4 Ir4'
_space_group_name_H-M_alt 'F m -3 m'
_space_group_IT_number 225
_space_group_name_Hall '-F 4 2 3'
_cell_length_a 7.402
_cell_length_b 7.402
_cell_length_c 7.402
_cell_angle_alpha 90.00
_cell_angle_beta 90.00
_cell_angle_gamma 90.00
loop_
_atom_site_label
_atom_site_type_symbol
_atom_site_fract_x
_atom_site_fract_y
_atom_site_fract_z
Pm1 Pm 0.250 0.250 0.250
Te1 Te 0.000 0.000 0.000
Ir1 Ir 0.000 0.000 0.500
```

Properties
total magnetic moment	0.000	μB/cell

***

Run three
Here is a geometry-optimized Pm2TeIr structure from Alexandria via LeMat-Bulk. Energies are from GGA-PBE.

Cell and atoms, written as CIF:
```
data_Pm2TeIr
_chemical_formula_sum 'Pm6 Te3 Ir3'
_space_group_name_H-M_alt 'R 3 m'
_space_group_IT_number 160
_space_group_name_Hall 'R 3 -2"'
_cell_length_a 4.2235
_cell_length_b 4.2235
_cell_length_c 22.4506
_cell_angle_alpha 90.00
_cell_angle_beta 90.00
_cell_angle_gamma 120.00
loop_
_atom_site_label
_atom_site_type_symbol
_atom_site_fract_x
_atom_site_fract_y
_atom_site_fract_z
Pm1 Pm 0.0000 0.0000 0.0000
Pm2 Pm 0.0000 0.0000 0.1945
Te1 Te 0.0000 0.0000 0.7636
Ir1 Ir 0.0000 0.0000 0.5981
```

Properties
total magnetic moment	0.000	μB/cell

***

It comes down to run one, which is 17 meV/atom more stable than the next structure.

***

Run one
Here is a geometry-optimized Pm2TeIr structure from Alexandria via LeMat-Bulk. Energies are from GGA-PBE.

Cell and atoms, written as CIF:
```
data_Pm2TeIr
_chemical_formula_sum 'Pm2 Te1 Ir1'
_space_group_name_H-M_alt 'P 4/m m m'
_space_group_IT_number 123
_space_group_name_Hall '-P 4 2'
_cell_length_a 3.677
_cell_length_b 3.677
_cell_length_c 7.558
_cell_angle_alpha 90.00
_cell_angle_beta 90.00
_cell_angle_gamma 90.00
loop_
_atom_site_label
_atom_site_type_symbol
_atom_site_fract_x
_atom_site_fract_y
_atom_site_fract_z
Pm1 Pm 0.000 0.000 0.223
Te1 Te 0.500 0.500 0.500
Ir1 Ir 0.500 0.500 0.000
```

Properties
total magnetic moment	0.000	μB/cell

***

Run two
Here is a geometry-optimized Pm2TeIr structure from Alexandria via LeMat-Bulk. Energies are from GGA-PBE.

Cell and atoms, written as CIF:
```
data_Pm2TeIr
_chemical_formula_sum 'Pm4 Te2 Ir2'
_space_group_name_H-M_alt 'P 63/m m c'
_space_group_IT_number 194
_space_group_name_Hall '-P 6c 2c'
_cell_length_a 4.2053
_cell_length_b 4.2053
_cell_length_c 15.0272
_cell_angle_alpha 90.00
_cell_angle_beta 90.00
_cell_angle_gamma 120.00
loop_
_atom_site_label
_atom_site_type_symbol
_atom_site_fract_x
_atom_site_fract_y
_atom_site_fract_z
Pm1 Pm 0.3333 0.6667 0.1045
Te1 Te 0.3333 0.6667 0.7500
Ir1 Ir 0.0000 0.0000 0.0000
```

Properties
total magnetic moment	0.000	μB/cell

***

It comes down to run two, which is 131 meV/atom more stable than the next structure.